No. 1
Material: LaYO
Method: DFT, PBE-GGA
State: relaxed

Cell lengths 3.6214, 3.6195, 12.3744 Å; angles 98.48, 90.00, 120.02 degrees
Closest atoms and distances in Å follow each position.
Sites, in units of the cell vectors:
La1 0.8824 0.7649 0.6428  3 O 2.71-2.72
La2 0.1176 0.2351 0.3572  3 O 2.71-2.72
Y1 0.6260 0.2519 0.8711  3 O 2.34
Y2 0.3740 0.7481 0.1289  3 O 2.34
O1 0.2638 0.5276 0.7849  3 Y 2.34
O2 0.7362 0.4724 0.2151  3 Y 2.34

Output
E above lowest polymorph (meV/atom): 0

=====

No. 2
Material: LaY2O2
Method: DFT, PBE-GGA
State: relaxed

Cell lengths 3.9146, 3.9146, 8.9089 Å; angles 77.31, 77.31, 90.00 degrees
Closest atoms and distances in Å follow each position.
Sites, in units of the cell vectors:
Y1 0.3144 0.3144 0.3711  4 O 2.24
Y2 0.6856 0.6856 0.6289  4 O 2.24
O1 0.7500 0.2500 0.5000  4 Y 2.24
O2 0.2500 0.7500 0.5000  4 Y 2.24
La1 0.0000 0.0000 0.0000  4 La 3.91, 8 Y 4.19

Output
E above lowest polymorph (meV/atom): 0

=====

No. 3
Material: LaY2O
Method: DFT, PBE-GGA
State: relaxed

Cell lengths 7.1105, 7.1105, 6.9897 Å; angles 59.43, 59.43, 90.00 degrees
Closest atoms and distances in Å follow each position.
Sites, in units of the cell vectors:
Y1 0.4425 0.1250 0.2500  2 O 2.21
Y2 0.3075 0.6250 0.2500  2 O 2.21
Y3 0.3750 0.5575 0.7500  2 O 2.21
Y4 0.8750 0.6925 0.7500  2 O 2.21
O1 0.5000 0.5000 0.0000  4 Y 2.21
O2 0.2500 0.7500 0.5000  4 Y 2.21
La1 0.0000 0.0000 0.0000  8 Y 3.75-4.08
La2 0.7500 0.2500 0.5000  8 Y 3.75-4.08

=====

No. 4
Material: LaYO2
Method: DFT, PBE-GGA
State: relaxed

Cell lengths 3.4846, 3.4846, 6.4752 Å; angles 74.39, 74.39, 60.00 degrees
Closest atoms and distances in Å follow each position.
Sites, in units of the cell vectors:
La1 0.4946 0.4946 0.5161  6 O 2.64-2.78
Y1 0.6714 0.6714 0.9858  6 O 2.33-2.42
O1 0.0685 0.0685 0.7946  3 Y 2.33
O2 0.2655 0.2655 0.2036  3 Y 2.42

=====

Number 1: D(E_F) 0.841 states/eV per atom, DFT total energy -43.356 eV/cell. Number 2: D(E_F) 1.040 states/eV per atom, DFT total energy -38.829 eV/cell. Number 3: D(E_F) 0.838 states/eV per atom, DFT total energy -55.983 eV/cell. Number 4: D(E_F) 0.269 states/eV per atom, DFT total energy -32.176 eV/cell.